Record 1
NpCu2Ge2 | PBE | relaxed

Geometry as CIF:
```
data_NpCu2Ge2
_chemical_formula_sum 'Np1 Cu2 Ge2'
_cell_length_a 5.892
_cell_length_b 5.892
_cell_length_c 5.892
_cell_angle_alpha 139.52
_cell_angle_beta 139.52
_cell_angle_gamma 58.59
_symmetry_space_group_name_H-M 'P 1'
_symmetry_Int_Tables_number 1
loop_
_symmetry_equiv_pos_as_xyz
'x,y,z'
loop_
_atom_site_label
_atom_site_type_symbol
_atom_site_fract_x
_atom_site_fract_y
_atom_site_fract_z
_atom_site_occupancy
Np1 Np 0.000 0.000 0.000 1
Cu1 Cu 0.250 0.750 0.500 1
Cu2 Cu 0.750 0.250 0.500 1
Ge1 Ge 0.380 0.380 0.000 1
Ge2 Ge 0.620 0.620 0.000 1
```

Properties
SG: I4/mmm

Record 2
Rb3TbLu | PBE | relaxed

Geometry as CIF:
```
data_Rb3TbLu
_chemical_formula_sum 'Rb6 Tb2 Lu2'
_cell_length_a 11.313
_cell_length_b 11.313
_cell_length_c 6.084
_cell_angle_alpha 90.00
_cell_angle_beta 90.00
_cell_angle_gamma 120.00
_symmetry_space_group_name_H-M 'P 1'
_symmetry_Int_Tables_number 1
loop_
_symmetry_equiv_pos_as_xyz
'x,y,z'
loop_
_atom_site_label
_atom_site_type_symbol
_atom_site_fract_x
_atom_site_fract_y
_atom_site_fract_z
_atom_site_occupancy
Rb1 Rb 0.192 0.385 0.250 1
Rb2 Rb 0.192 0.808 0.250 1
Rb3 Rb 0.385 0.192 0.750 1
Rb4 Rb 0.615 0.808 0.250 1
Rb5 Rb 0.808 0.192 0.750 1
Rb6 Rb 0.808 0.615 0.750 1
Tb1 Tb 0.000 0.000 0.250 1
Tb2 Tb 0.000 0.000 0.750 1
Lu1 Lu 0.333 0.667 0.750 1
Lu2 Lu 0.667 0.333 0.250 1
```

Properties
SG: P6_3/mmc

Record 3
KNdAg3Te4 | PBE | relaxed

Geometry as CIF:
```
data_KNdAg3Te4
_chemical_formula_sum 'K1 Nd1 Ag3 Te4'
_cell_length_a 7.061
_cell_length_b 7.061
_cell_length_c 7.061
_cell_angle_alpha 90.00
_cell_angle_beta 90.00
_cell_angle_gamma 90.00
_symmetry_space_group_name_H-M 'P 1'
_symmetry_Int_Tables_number 1
loop_
_symmetry_equiv_pos_as_xyz
'x,y,z'
loop_
_atom_site_label
_atom_site_type_symbol
_atom_site_fract_x
_atom_site_fract_y
_atom_site_fract_z
_atom_site_occupancy
K1 K 0.000 0.000 0.000 1
Nd1 Nd 0.500 0.500 0.500 1
Ag1 Ag 0.000 0.500 0.500 1
Ag2 Ag 0.500 0.000 0.500 1
Ag3 Ag 0.500 0.500 0.000 1
Te1 Te 0.261 0.261 0.261 1
Te2 Te 0.261 0.739 0.739 1
Te3 Te 0.739 0.261 0.739 1
Te4 Te 0.739 0.739 0.261 1
```

Properties
SG: P-43m

Record 4
GdErB4 | PBE | relaxed

Geometry as CIF:
```
data_GdErB4
_chemical_formula_sum 'Gd1 Er1 B4'
_cell_length_a 3.292
_cell_length_b 3.292
_cell_length_c 7.732
_cell_angle_alpha 90.00
_cell_angle_beta 90.00
_cell_angle_gamma 120.00
_symmetry_space_group_name_H-M 'P 1'
_symmetry_Int_Tables_number 1
loop_
_symmetry_equiv_pos_as_xyz
'x,y,z'
loop_
_atom_site_label
_atom_site_type_symbol
_atom_site_fract_x
_atom_site_fract_y
_atom_site_fract_z
_atom_site_occupancy
Gd1 Gd 0.000 0.000 0.000 1
Er1 Er 0.000 0.000 0.500 1
B1 B 0.333 0.667 0.256 1
B2 B 0.333 0.667 0.744 1
B3 B 0.667 0.333 0.256 1
B4 B 0.667 0.333 0.744 1
```

Properties
SG: P6/mmm
Relative energy among the computed polymorphs, eV/atom: 0.0000

Record 5
MgZrFePb | PBE | relaxed

Geometry as CIF:
```
data_MgZrFePb
_chemical_formula_sum 'Mg1 Zr1 Fe1 Pb1'
_cell_length_a 4.672
_cell_length_b 4.672
_cell_length_c 4.672
_cell_angle_alpha 60.00
_cell_angle_beta 60.00
_cell_angle_gamma 60.00
_symmetry_space_group_name_H-M 'P 1'
_symmetry_Int_Tables_number 1
loop_
_symmetry_equiv_pos_as_xyz
'x,y,z'
loop_
_atom_site_label
_atom_site_type_symbol
_atom_site_fract_x
_atom_site_fract_y
_atom_site_fract_z
_atom_site_occupancy
Mg1 Mg 0.000 0.000 0.000 1
Zr1 Zr 0.750 0.750 0.750 1
Fe1 Fe 0.500 0.500 0.500 1
Pb1 Pb 0.250 0.250 0.250 1
```

Properties
SG: F-43m
Relative energy among the computed polymorphs, eV/atom: 0.0000

Record 6
AlCuTcMo | PBE | relaxed

Geometry as CIF:
```
data_AlCuTcMo
_chemical_formula_sum 'Al1 Cu1 Tc1 Mo1'
_cell_length_a 4.310
_cell_length_b 4.310
_cell_length_c 4.310
_cell_angle_alpha 60.00
_cell_angle_beta 60.00
_cell_angle_gamma 60.00
_symmetry_space_group_name_H-M 'P 1'
_symmetry_Int_Tables_number 1
loop_
_symmetry_equiv_pos_as_xyz
'x,y,z'
loop_
_atom_site_label
_atom_site_type_symbol
_atom_site_fract_x
_atom_site_fract_y
_atom_site_fract_z
_atom_site_occupancy
Al1 Al 0.000 0.000 0.000 1
Cu1 Cu 0.250 0.250 0.250 1
Tc1 Tc 0.750 0.750 0.750 1
Mo1 Mo 0.500 0.500 0.500 1
```

Properties
SG: F-43m
Relative energy among the computed polymorphs, eV/atom: 0.0000

Record 7
ZrZnPtAu | PBE | relaxed

Geometry as CIF:
```
data_ZrZnPtAu
_chemical_formula_sum 'Zr1 Zn1 Pt1 Au1'
_cell_length_a 4.637
_cell_length_b 4.637
_cell_length_c 4.637
_cell_angle_alpha 60.00
_cell_angle_beta 60.00
_cell_angle_gamma 60.00
_symmetry_space_group_name_H-M 'P 1'
_symmetry_Int_Tables_number 1
loop_
_symmetry_equiv_pos_as_xyz
'x,y,z'
loop_
_atom_site_label
_atom_site_type_symbol
_atom_site_fract_x
_atom_site_fract_y
_atom_site_fract_z
_atom_site_occupancy
Zr1 Zr 0.000 0.000 0.000 1
Zn1 Zn 0.500 0.500 0.500 1
Pt1 Pt 0.250 0.250 0.250 1
Au1 Au 0.750 0.750 0.750 1
```

Properties
SG: F-43m
DFT formation energy, eV/atom: -0.63
Relative energy among the computed polymorphs, eV/atom: 0.0000

Record 8
K2LiAuF6 | PBE | relaxed

Geometry as CIF:
```
data_K2LiAuF6
_chemical_formula_sum 'K2 Li1 Au1 F6'
_cell_length_a 5.717
_cell_length_b 5.717
_cell_length_c 5.717
_cell_angle_alpha 59.79
_cell_angle_beta 59.79
_cell_angle_gamma 59.79
_symmetry_space_group_name_H-M 'P 1'
_symmetry_Int_Tables_number 1
loop_
_symmetry_equiv_pos_as_xyz
'x,y,z'
loop_
_atom_site_label
_atom_site_type_symbol
_atom_site_fract_x
_atom_site_fract_y
_atom_site_fract_z
_atom_site_occupancy
K1 K 0.250 0.250 0.250 1
K2 K 0.750 0.750 0.750 1
Li1 Li 0.000 0.000 0.000 1
Au1 Au 0.500 0.500 0.500 1
F1 F 0.238 0.240 0.760 1
F2 F 0.240 0.760 0.238 1
F3 F 0.240 0.762 0.760 1
F4 F 0.760 0.238 0.240 1
F5 F 0.760 0.240 0.762 1
F6 F 0.762 0.760 0.240 1
```

Properties
SG: R-3
Relative energy among the computed polymorphs, eV/atom: 0.0658

Computed energy (eV/cell) in order:
-29.38; -14.06; -31.21; -39.27; -21.49; -29.00; -21.67; -39.06